# TbTi2O4

A relaxed TbTi2O4 crystal (GGA-PBE, Alexandria).

Output
- V (Å³ per atom) = 11.2
- ΔE_f (raw) (eV per atom) = -2.922
- symmetry = Cmcm
- magnetic moment (μB per formula unit) = 0.0

Unit cell a=5.110 b=5.110 c=10.193 alpha=90.00 beta=90.00 gamma=143.74
Atoms (fractional coordinates):
Tb (0.127, 0.873, 0.750)
Tb (0.873, 0.127, 0.250)
Ti (0.383, 0.617, 0.559)
Ti (0.383, 0.617, 0.941)
Ti (0.617, 0.383, 0.059)
Ti (0.617, 0.383, 0.441)
O (0.000, 0.000, 0.000)
O (0.000, 0.000, 0.500)
O (0.267, 0.733, 0.112)
O (0.267, 0.733, 0.388)
O (0.455, 0.545, 0.750)
O (0.545, 0.455, 0.250)
O (0.733, 0.267, 0.612)
O (0.733, 0.267, 0.888)

***

# LaTeSeN2

A relaxed LaTeSeN2 crystal (GGA-PBE, Alexandria).

Output
- V (Å³ per atom) = 20.0
- ΔE_f (raw) (eV per atom) = 0.790
- symmetry = P4/mmm
- E above lowest polymorph (eV/atom) = 0.5311
- magnetic moment (μB per formula unit) = 0.9

Unit cell a=4.350 b=4.350 c=5.284 alpha=90.00 beta=90.00 gamma=90.00
Atoms (fractional coordinates):
La (0.000, 0.000, 0.000)
Te (0.500, 0.500, 0.000)
Se (0.500, 0.500, 0.500)
N (0.000, 0.500, 0.500)
N (0.500, 0.000, 0.500)

***

# Mg3HRh

A relaxed Mg3HRh crystal (GGA-PBE, Alexandria).

Output
- V (Å³ per atom) = 24.0
- symmetry = Pm-3m
- E above lowest polymorph (eV/atom) = 0.6744
- magnetic moment (μB per formula unit) = 0.0

Unit cell a=4.933 b=4.933 c=4.933 alpha=90.00 beta=90.00 gamma=90.00
Atoms (fractional coordinates):
Mg (0.000, 0.000, 0.500)
Mg (0.000, 0.500, 0.000)
Mg (0.500, 0.000, 0.000)
H (0.500, 0.500, 0.500)
Rh (0.000, 0.000, 0.000)

***

# LaZrIn

A relaxed LaZrIn crystal (GGA-PBE, Alexandria).

Output
- V (Å³ per atom) = 27.8
- calculated formation energy (kJ/mol of atoms) = -4.9
- symmetry = P3m1
- E above lowest polymorph (eV/atom) = 0.0817
- magnetic moment (μB per formula unit) = 0.0

Unit cell a=5.260 b=5.260 c=3.485 alpha=90.00 beta=90.00 gamma=120.00
Atoms (fractional coordinates):
La (0.000, 0.000, 0.000)
Zr (0.333, 0.667, 0.478)
In (0.667, 0.333, 0.531)

***

# MgFe2As

A relaxed MgFe2As crystal (GGA-PBE, Alexandria).

Output
- V (Å³ per atom) = 14.6
- calculated formation energy (kJ/mol of atoms) = 0.4
- symmetry = P4mm
- magnetic moment (μB per formula unit) = 4.3

Unit cell a=3.128 b=3.128 c=5.970 alpha=90.00 beta=90.00 gamma=90.00
Atoms (fractional coordinates):
Mg (0.000, 0.000, 0.000)
Fe (0.000, 0.000, 0.521)
Fe (0.500, 0.500, 0.732)
As (0.500, 0.500, 0.317)

***

# Ce6Cd3C

A relaxed Ce6Cd3C crystal (GGA-PBE, Alexandria).

Output
- V (Å³ per atom) = 25.4
- calculated formation energy (kJ/mol of atoms) = -9.3
- symmetry = R-3m
- magnetic moment (μB per formula unit) = 4.7

Unit cell a=8.058 b=8.058 c=8.058 alpha=81.38 beta=81.38 gamma=81.38
Atoms (fractional coordinates):
Ce (0.126, 0.796, 0.796)
Ce (0.190, 0.522, 0.522)
Ce (0.204, 0.204, 0.874)
Ce (0.204, 0.874, 0.204)
Ce (0.478, 0.478, 0.810)
Ce (0.478, 0.810, 0.478)
Ce (0.522, 0.190, 0.522)
Ce (0.522, 0.522, 0.190)
Ce (0.796, 0.126, 0.796)
Ce (0.796, 0.796, 0.126)
Ce (0.810, 0.478, 0.478)
Ce (0.874, 0.204, 0.204)
Cd (0.134, 0.134, 0.493)
Cd (0.134, 0.493, 0.134)
Cd (0.493, 0.134, 0.134)
Cd (0.507, 0.866, 0.866)
Cd (0.866, 0.507, 0.866)
Cd (0.866, 0.866, 0.507)
C (0.000, 0.000, 0.000)
C (0.500, 0.500, 0.500)

***

- Among the records above, which one has the lowest V?
  TbTi2O4

***

- What is the V in the first record?
  11.2 Å³ per atom

***

- magnetic moment of number 4 (LaZrIn)?
  0.0 μB per formula unit